1.
The following is a DFT calculation (PBE) of La2BeGe3 after structural relaxation. Values from VASP.

Structure (Quantum ESPRESSO input):
```
&SYSTEM
  ibrav = 0, nat = 12, ntyp = 3
/
ATOMIC_SPECIES
La 138.91 La.upf
Be 9.01 Be.upf
Ge 72.64 Ge.upf
ATOMIC_POSITIONS crystal
La 0.243 0.757 0.243
La 0.250 0.250 0.250
La 0.750 0.750 0.750
La 0.757 0.243 0.757
Be 0.333 0.333 0.667
Be 0.667 0.667 0.333
Ge 0.176 0.176 0.824
Ge 0.181 0.644 0.819
Ge 0.356 0.819 0.644
Ge 0.644 0.181 0.356
Ge 0.819 0.356 0.181
Ge 0.824 0.824 0.176
CELL_PARAMETERS angstrom
0.000 4.434 7.164
4.139 0.000 7.164
4.139 4.434 0.000
```

Computed properties:
- energy relative to the lowest polymorph listed for this composition (kJ per mole of atoms) = 0.00
- VASP energy (eV/atom) = -5.268
- DFT formation energy (eV per atom) = -0.696

***

2.
The following is a DFT calculation (PBE) of Ca2HgRh after structural relaxation. Values from VASP.

Structure (Quantum ESPRESSO input):
```
&SYSTEM
  ibrav = 0, nat = 4, ntyp = 3
/
ATOMIC_SPECIES
Ca 40.08 Ca.upf
Hg 200.59 Hg.upf
Rh 102.91 Rh.upf
ATOMIC_POSITIONS crystal
Ca 0.000 0.000 0.219
Ca 0.000 0.000 0.781
Hg 0.500 0.500 0.500
Rh 0.500 0.500 0.000
CELL_PARAMETERS angstrom
3.522 0.000 0.000
0.000 3.522 0.000
0.000 0.000 7.612
```

Computed properties:
- VASP energy (eV/atom) = -3.357
- DFT formation energy (eV per atom) = -0.443

***

3.
The following is a DFT calculation (PBE) of Tl2AsPt after structural relaxation. Values from VASP.

Structure (Quantum ESPRESSO input):
```
&SYSTEM
  ibrav = 0, nat = 4, ntyp = 3
/
ATOMIC_SPECIES
Tl 204.38 Tl.upf
As 74.92 As.upf
Pt 195.08 Pt.upf
ATOMIC_POSITIONS crystal
Tl 0.000 0.000 0.230
Tl 0.000 0.000 0.770
As 0.500 0.500 0.500
Pt 0.500 0.500 0.000
CELL_PARAMETERS angstrom
2.143 -2.442 0.000
2.143 2.442 0.000
0.000 0.000 8.525
```

Computed properties:
- energy relative to the lowest polymorph listed for this composition (kJ per mole of atoms) = 42.53
- VASP energy (eV/atom) = -3.598
- DFT formation energy (eV per atom) = 0.258

***

Q: Look up the DFT formation energy of the third one.
A: 0.258 eV per atom

***

Q: The highest VASP energy belongs to which entry?
A: Ca2HgRh